## Tb4ZnTe2P (PBE)

Data for crystalline Tb4ZnTe2P at its relaxed geometry.

- energy relative to the elements, uncorrected (eV per formula unit) = -9.13
- electronic total energy (hartree per atom) = -0.1866

The structure in CIF format:
```
data_Tb4ZnTe2P
_symmetry_space_group_name_H-M 'P 1'
_symmetry_Int_Tables_number 1
_cell_length_a 4.133
_cell_length_b 7.399
_cell_length_c 7.415
_cell_angle_alpha 108.24
_cell_angle_beta 90.00
_cell_angle_gamma 90.00
loop_
_symmetry_equiv_pos_as_xyz
'x,y,z'
loop_
_atom_site_label
_atom_site_type_symbol
_atom_site_fract_x
_atom_site_fract_y
_atom_site_fract_z
_atom_site_occupancy
Tb1 Tb 0.500 0.231 0.217 1
Tb2 Tb 0.500 0.769 0.783 1
Tb3 Tb 0.000 0.251 0.774 1
Tb4 Tb 0.000 0.749 0.226 1
Zn1 Zn 0.500 0.500 0.000 1
Te1 Te 0.500 0.000 0.500 1
Te2 Te 0.000 0.500 0.500 1
P1 P 0.000 0.000 0.000 1
```